(1)
Rb2TlTeF6 | PBE | relaxed

It has space group I4/mmm (No. 139), with a = 6.715 Å, b = 6.715 Å, c = 10.579 Å, α = 90.00°, β = 90.00° and γ = 90.00°. The distinct sites, in fractional coordinates, are Rb at (0.000, 0.500, 0.250), Tl at (0.000, 0.000, 0.000), Te at (0.000, 0.000, 0.500), F at (0.000, 0.000, 0.246) and F at (0.221, 0.221, 0.500).

The value obtained for the uncorrected formation energy is -2.12 eV/atom.

---

(2)
Ca5Rh3 | PBE | relaxed

It has space group Pnma (No. 62), with a = 12.058 Å, b = 8.747 Å, c = 7.485 Å, α = 90.00°, β = 90.00° and γ = 90.00°. The distinct sites, in fractional coordinates, are Ca at (0.000, 0.250, 0.034), Ca at (0.089, 0.029, 0.676), Ca at (0.193, 0.750, 0.350), Ca at (0.224, 0.250, 0.327), Rh at (0.002, 0.750, 0.567) and Rh at (0.163, 0.501, 0.058).

For the formation energy, the calculation gives -276 meV/atom. As for the polymorph energy (0 for the lowest one): 0.00 kJ per mole of atoms.

---

(3)
AgSe4 | PBE | relaxed

It has space group I4/mmm (No. 139), with a = 3.759 Å, b = 3.759 Å, c = 18.407 Å, α = 90.00°, β = 90.00° and γ = 90.00°. The distinct sites, in fractional coordinates, are Ag at (0.000, 0.000, 0.000), Se at (0.000, 0.000, 0.435) and Se at (0.000, 0.500, 0.250).

The value obtained for the uncorrected formation energy is 0.23 eV/atom. As for the polymorph energy (0 for the lowest one): 17.01 kJ per mole of atoms.

---

(4)
Sc3Pa2Co2 | PBE | relaxed

It has space group C2/m (No. 12), with a = 10.982 Å, b = 3.399 Å, c = 8.434 Å, α = 90.00°, β = 113.42° and γ = 90.00°. The distinct sites, in fractional coordinates, are Sc at (0.000, 0.000, 0.000), Sc at (0.116, 0.000, 0.427), Pa at (0.173, 0.500, 0.820) and Co at (0.184, 0.500, 0.233).

For the formation energy, the calculation gives -234 meV/atom.

---

(5)
DyPtI2 | PBE | relaxed

It has space group R-3m (No. 166, hexagonal axes), with a = 3.9371 Å, b = 3.9371 Å, c = 27.8264 Å, α = 90.00°, β = 90.00° and γ = 120.00°. The distinct sites, in fractional coordinates, are Dy at (0.0000, 0.0000, 0.0000), Pt at (0.0000, 0.0000, 0.5000) and I at (0.0000, 0.0000, 0.4079).

The value obtained for the uncorrected formation energy is -0.26 eV/atom.

---

(6)
Zr3NbTe | PBE | relaxed

It has space group Pm-3m (No. 221), with a = 5.123 Å, b = 5.123 Å, c = 5.123 Å, α = 90.00°, β = 90.00° and γ = 90.00°. The distinct sites, in fractional coordinates, are Zr at (0.000, 0.000, 0.500), Nb at (0.000, 0.000, 0.000) and Te at (0.500, 0.500, 0.500).

The value obtained for the uncorrected formation energy is 0.67 eV/atom. As for the polymorph energy (0 for the lowest one): 0.00 kJ per mole of atoms.

---

(7)
PaSeO | PBE | relaxed

It has space group Cmcm (No. 63), with a = 5.700 Å, b = 11.668 Å, c = 4.075 Å, α = 90.00°, β = 90.00° and γ = 90.00°. The distinct sites, in fractional coordinates, are Pa at (0.000, 0.136, 0.250), Se at (0.000, 0.335, 0.750) and O at (0.000, 0.063, 0.750).

The value obtained for the uncorrected formation energy is -2.46 eV/atom.

---

(8)
Li2CoW | PBE | relaxed

It has space group Cmm2 (No. 35), with a = 2.998 Å, b = 4.338 Å, c = 9.104 Å, α = 90.00°, β = 90.00° and γ = 90.00°. The distinct sites, in fractional coordinates, are Li at (0.000, 0.000, 0.000), Li at (0.000, 0.500, 0.286), Co at (0.000, 0.000, 0.514) and W at (0.000, 0.500, 0.736).

For the formation energy, the calculation gives 276 meV/atom. As for the polymorph energy (0 for the lowest one): 0.00 kJ per mole of atoms.